# Ba2Sb7Au12 GGA-PBE optimized geometry
data_Ba2Sb7Au12
_symmetry_space_group_name_H-M 'P -1'
_symmetry_Int_Tables_number 2
_symmetry_space_group_name_Hall '-P 1'
_cell_length_a 4.978
_cell_length_b 10.964
_cell_length_c 10.978
_cell_angle_alpha 60.12
_cell_angle_beta 87.69
_cell_angle_gamma 83.30
loop_
_atom_site_label
_atom_site_type_symbol
_atom_site_fract_x
_atom_site_fract_y
_atom_site_fract_z
_atom_site_occupancy
Ba1 Ba 0.245 0.146 0.183 1
Sb1 Sb 0.000 0.500 0.500 1
Sb2 Sb 0.170 0.134 0.762 1
Sb3 Sb 0.254 0.631 0.085 1
Sb4 Sb 0.293 0.783 0.564 1
Au1 Au 0.178 0.367 0.331 1
Au2 Au 0.238 0.046 0.553 1
Au3 Au 0.253 0.377 0.792 1
Au4 Au 0.282 0.911 0.031 1
Au5 Au 0.323 0.604 0.854 1
Au6 Au 0.368 0.720 0.349 1
# - total energy (eV per atom) = -3.70
# - N(E_F) (states/eV/atom) = 0.40
# - V (Å³ per cell) = 515.92